Compound: RbAgP2
Source: Alexandria via LeMat-Bulk
Functional: meta-GGA SCAN
Structure: PBEsol geometry

Lattice parameters (Å, degrees): 4.847 4.847 17.456 90.00 90.00 90.00
Space group I4_1/amd (No. 141, origin choice 2)
Symmetry-distinct sites (fractional):
Rb 0.000 0.250 0.375 [4 per cell]
Ag 0.000 0.250 0.875 [4 per cell]
P 0.000 0.000 0.000 [8 per cell]

Formation energy from the elements ... 0.0468 eV per atom
Magnetic moment ... 0.0 μB/f.u.
Final energy ... -1.33614 Ry/atom


Compound: SrTcW2
Source: Alexandria via LeMat-Bulk
Functional: meta-GGA SCAN
Structure: PBEsol geometry

Lattice parameters (Å, degrees): 5.609 9.778 2.695 90.00 107.84 90.00
Space group C2/m (No. 12)
Symmetry-distinct sites (fractional):
Sr 0.000 0.000 0.000 [2 per cell]
Tc 0.000 0.500 0.000 [2 per cell]
W 0.250 0.250 0.500 [4 per cell]

Formation energy from the elements ... 1.1704 eV per atom
Magnetic moment ... 0.0 μB/f.u.
Final energy ... -3.52848 Ry/atom
Offset from the most stable computed form ... 1.18 eV/f.u.


Compound: CuMo6S8
Source: Alexandria via LeMat-Bulk
Functional: meta-GGA SCAN
Structure: PBEsol geometry

Lattice parameters (Å, degrees): 6.383 6.385 12.805 94.91 94.15 93.66
Space group P1 (No. 1)
Symmetry-distinct sites (fractional):
Cu 0.000 0.000 0.000 [1 per cell]
Cu 0.225 0.808 0.483 [1 per cell]
Mo 0.345 0.355 0.727 [1 per cell]
Mo 0.357 0.354 0.228 [1 per cell]
Mo 0.537 0.495 0.562 [1 per cell]
Mo 0.545 0.489 0.061 [1 per cell]
Mo 0.584 0.742 0.755 [1 per cell]
Mo 0.603 0.733 0.255 [1 per cell]
Mo 0.677 0.164 0.659 [1 per cell]
Mo 0.688 0.160 0.158 [1 per cell]
Mo 0.728 0.412 0.850 [1 per cell]
Mo 0.741 0.401 0.350 [1 per cell]
Mo 0.918 0.549 0.686 [1 per cell]
Mo 0.933 0.538 0.185 [1 per cell]
S 0.009 0.219 0.267 [1 per cell]
S 0.262 0.683 0.648 [1 per cell]
S 0.281 0.676 0.147 [1 per cell]
S 0.340 0.148 0.556 [1 per cell]
S 0.340 0.150 0.059 [1 per cell]
S 0.405 0.574 0.889 [1 per cell]
S 0.417 0.575 0.387 [1 per cell]
S 0.512 0.092 0.819 [1 per cell]
S 0.522 0.084 0.318 [1 per cell]
S 0.751 0.814 0.595 [1 per cell]
S 0.768 0.806 0.093 [1 per cell]
S 0.860 0.328 0.526 [1 per cell]
S 0.873 0.330 0.021 [1 per cell]
S 0.921 0.757 0.857 [1 per cell]
S 0.947 0.736 0.358 [1 per cell]
S 0.999 0.228 0.766 [1 per cell]

Energy relative to the elements, uncorrected ... -1011.9 kJ/mol of formula units
Magnetic moment ... 0.0 μB/f.u.
Final energy ... -1.52888 Ry/atom


Compound: Te2PCl
Source: Alexandria via LeMat-Bulk
Functional: meta-GGA SCAN
Structure: PBEsol geometry

Lattice parameters (Å, degrees): 3.6020 3.6020 24.9153 90.00 90.00 120.00
Space group R-3m (No. 166, hexagonal axes)
Symmetry-distinct sites (fractional):
Te 0.0000 0.0000 0.2380 [6 per cell]
P 0.0000 0.0000 0.5000 [3 per cell]
Cl 0.0000 0.0000 0.0000 [3 per cell]

Energy relative to the elements, uncorrected ... 33.2 kJ/mol of formula units
Magnetic moment ... 0.0 μB/f.u.
Final energy ... -1.70030 Ry/atom


Compound: TlBiPdRu2
Source: Alexandria via LeMat-Bulk
Functional: meta-GGA SCAN
Structure: PBEsol geometry

Lattice parameters (Å, degrees): 4.831 4.831 4.925 90.00 90.00 90.00
Space group P4/mmm (No. 123)
Symmetry-distinct sites (fractional):
Tl 0.000 0.000 0.000 [1 per cell]
Bi 0.500 0.500 0.000 [1 per cell]
Pd 0.000 0.000 0.500 [1 per cell]
Ru 0.000 0.500 0.500 [2 per cell]

Formation energy from the elements ... 1.2951 eV per atom
Magnetic moment ... 4.8 μB/f.u.
Final energy ... -3.62921 Ry/atom


Compound: Ta2BeP
Source: Alexandria via LeMat-Bulk
Functional: meta-GGA SCAN
Structure: PBEsol geometry

Lattice parameters (Å, degrees): 3.438 3.415 9.048 90.00 90.00 90.00
Space group Amm2 (No. 38)
Symmetry-distinct sites (fractional):
Ta 0.000 0.000 0.000 [2 per cell]
Ta 0.500 0.000 0.296 [2 per cell]
Be 0.500 0.000 0.572 [2 per cell]
P 0.000 0.000 0.713 [2 per cell]

Formation energy from the elements ... -0.6361 eV per atom
Magnetic moment ... 0.0 μB/f.u.
Final energy ... -2.76471 Ry/atom


Compound: Cd2MoW
Source: Alexandria via LeMat-Bulk
Functional: meta-GGA SCAN
Structure: PBEsol geometry

Lattice parameters (Å, degrees): 9.870 2.717 5.152 90.00 97.25 90.00
Space group C2/m (No. 12)
Symmetry-distinct sites (fractional):
Cd 0.250 0.000 0.249 [4 per cell]
Mo 0.000 0.500 0.000 [2 per cell]
W 0.000 0.000 0.500 [2 per cell]

Formation energy from the elements ... 0.6229 eV per atom
Magnetic moment ... 0.0 μB/f.u.
Final energy ... -2.99343 Ry/atom
Offset from the most stable computed form ... 0.58 eV/f.u.


Compound: BaNaLi3B6O12
Source: Alexandria via LeMat-Bulk
Functional: meta-GGA SCAN
Structure: PBEsol geometry

Lattice parameters (Å, degrees): 9.4421 9.4421 18.6506 90.00 90.00 120.00
Space group R-3 (No. 148, hexagonal axes)
Symmetry-distinct sites (fractional):
Ba 0.0000 0.0000 0.1483 [6 per cell]
Na 0.0000 0.0000 0.3320 [6 per cell]
Li 0.0452 0.2739 0.5534 [18 per cell]
B 0.0148 0.6088 0.9175 [18 per cell]
B 0.0227 0.4941 0.6618 [18 per cell]
O 0.0173 0.5139 0.8642 [18 per cell]
O 0.0203 0.7962 0.0373 [18 per cell]
O 0.0365 0.7971 0.6190 [18 per cell]
O 0.0792 0.4928 0.3953 [18 per cell]

Energy relative to the elements, uncorrected ... -5980.8 kJ/mol of formula units
Magnetic moment ... 0.0 μB/f.u.
Final energy ... -0.74225 Ry/atom


Look up the magnetic moment of the third one.
0.0 μB/f.u.


Look up the final energy of the sixth one.
-2.76471 Ry/atom